No. 1
Density functional theory data (PBE-GGA) for a relaxed structure of BaCS.

Properties
Space-group type   No. 2
Formation energy without anion corrections   -0.589 eV/atom

Structure (CIF):
```
data_BaCS
_chemical_formula_sum 'Ba2 C2 S2'
_symmetry_space_group_name_H-M 'P 1'
_symmetry_Int_Tables_number 1
_cell_length_a 4.3481
_cell_length_b 4.7511
_cell_length_c 7.2276
_cell_angle_alpha 80.56
_cell_angle_beta 77.69
_cell_angle_gamma 85.80
loop_
_symmetry_equiv_pos_as_xyz
'x,y,z'
loop_
_atom_site_label
_atom_site_type_symbol
_atom_site_fract_x
_atom_site_fract_y
_atom_site_fract_z
_atom_site_occupancy
C1 C 0.5334 0.8654 0.0447 1
C2 C 0.4666 0.1346 0.9553 1
S1 S 0.7074 0.2085 0.7038 1
S2 S 0.2926 0.7915 0.2962 1
Ba1 Ba 0.7853 0.2988 0.2403 1
Ba2 Ba 0.2147 0.7012 0.7597 1
```

---

No. 2
Density functional theory data (PBE-GGA) for a relaxed structure of BaSm2CuO5.

Properties
Space-group type   No. 62
Formation energy without anion corrections   -2.613 eV/atom

Structure (CIF):
```
data_BaSm2CuO5
_chemical_formula_sum 'Ba4 Sm8 Cu4 O20'
_symmetry_space_group_name_H-M 'P 1'
_symmetry_Int_Tables_number 1
_cell_length_a 5.8014
_cell_length_b 7.3936
_cell_length_c 12.4712
_cell_angle_alpha 90.00
_cell_angle_beta 90.00
_cell_angle_gamma 90.00
loop_
_symmetry_equiv_pos_as_xyz
'x,y,z'
loop_
_atom_site_label
_atom_site_type_symbol
_atom_site_fract_x
_atom_site_fract_y
_atom_site_fract_z
_atom_site_occupancy
Ba1 Ba 0.2500 0.5671 0.4058 1
Ba2 Ba 0.7500 0.4329 0.5942 1
Ba3 Ba 0.7500 0.0671 0.0942 1
Ba4 Ba 0.2500 0.9329 0.9058 1
Sm1 Sm 0.2500 0.1054 0.5740 1
Sm2 Sm 0.7500 0.8946 0.4260 1
Sm3 Sm 0.7500 0.6054 0.9260 1
Sm4 Sm 0.2500 0.3946 0.0740 1
Sm5 Sm 0.2500 0.3896 0.7871 1
Sm6 Sm 0.7500 0.6104 0.2129 1
Sm7 Sm 0.7500 0.8896 0.7129 1
Sm8 Sm 0.2500 0.1104 0.2871 1
Cu1 Cu 0.2500 0.7798 0.1611 1
Cu2 Cu 0.7500 0.2202 0.8389 1
Cu3 Cu 0.7500 0.2798 0.3389 1
Cu4 Cu 0.2500 0.7202 0.6611 1
O1 O 0.2500 0.4218 0.5975 1
O2 O 0.7500 0.5782 0.4025 1
O3 O 0.7500 0.9218 0.9025 1
O4 O 0.2500 0.0782 0.0975 1
O5 O 0.0068 0.8493 0.2721 1
O6 O 0.5068 0.1507 0.7279 1
O7 O 0.9932 0.3493 0.2279 1
O8 O 0.4932 0.6507 0.7721 1
O9 O 0.9932 0.1507 0.7279 1
O10 O 0.4932 0.8493 0.2721 1
O11 O 0.0068 0.6507 0.7721 1
O12 O 0.5068 0.3493 0.2279 1
O13 O 0.4904 0.6642 0.0681 1
O14 O 0.9904 0.3358 0.9319 1
O15 O 0.5096 0.1642 0.4319 1
O16 O 0.0096 0.8358 0.5681 1
O17 O 0.9904 0.1642 0.4319 1
O18 O 0.4904 0.8358 0.5681 1
O19 O 0.0096 0.6642 0.0681 1
O20 O 0.5096 0.3358 0.9319 1
```

---

No. 3
Density functional theory data (PBE-GGA) for a relaxed structure of BaAc2TbTl4.

Properties
Space-group type   No. 166
Energy relative to the elements   -0.32 eV per atom

Structure (CIF):
```
data_BaAc2TbTl4
_chemical_formula_sum 'Ba1 Ac2 Tb1 Tl4'
_symmetry_space_group_name_H-M 'P 1'
_symmetry_Int_Tables_number 1
_cell_length_a 5.7912
_cell_length_b 5.7912
_cell_length_c 10.0687
_cell_angle_alpha 73.29
_cell_angle_beta 73.29
_cell_angle_gamma 60.00
loop_
_symmetry_equiv_pos_as_xyz
'x,y,z'
loop_
_atom_site_label
_atom_site_type_symbol
_atom_site_fract_x
_atom_site_fract_y
_atom_site_fract_z
_atom_site_occupancy
Ba1 Ba 0.0000 0.0000 0.0000 1
Ac1 Ac 0.7493 0.7493 0.7521 1
Ac2 Ac 0.2507 0.2507 0.2479 1
Tb1 Tb 0.5000 0.5000 0.5000 1
Tl1 Tl 0.3845 0.3845 0.8464 1
Tl2 Tl 0.8701 0.8701 0.3897 1
Tl3 Tl 0.1299 0.1299 0.6103 1
Tl4 Tl 0.6155 0.6155 0.1536 1
```

---

No. 4
Density functional theory data (PBE-GGA) for a relaxed structure of LiGePtO6.

Properties
Space-group type   No. 163
Formation energy without anion corrections   -0.866 eV/atom

Structure (CIF):
```
data_LiGePtO6
_chemical_formula_sum 'Li2 Ge2 Pt2 O12'
_symmetry_space_group_name_H-M 'P 1'
_symmetry_Int_Tables_number 1
_cell_length_a 5.0931
_cell_length_b 5.0931
_cell_length_c 8.8647
_cell_angle_alpha 90.00
_cell_angle_beta 90.00
_cell_angle_gamma 120.00
loop_
_symmetry_equiv_pos_as_xyz
'x,y,z'
loop_
_atom_site_label
_atom_site_type_symbol
_atom_site_fract_x
_atom_site_fract_y
_atom_site_fract_z
_atom_site_occupancy
Li1 Li 0.0000 0.0000 0.0000 1
Li2 Li 0.0000 0.0000 0.5000 1
Ge1 Ge 0.6667 0.3333 0.2500 1
Ge2 Ge 0.3333 0.6667 0.7500 1
Pt1 Pt 0.3333 0.6667 0.2500 1
Pt2 Pt 0.6667 0.3333 0.7500 1
O1 O 0.6481 0.6409 0.1336 1
O2 O 0.9928 0.3519 0.1336 1
O3 O 0.3519 0.9928 0.6336 1
O4 O 0.0072 0.6481 0.8664 1
O5 O 0.3591 0.3519 0.3664 1
O6 O 0.9928 0.6409 0.3664 1
O7 O 0.6409 0.9928 0.8664 1
O8 O 0.6481 0.0072 0.3664 1
O9 O 0.0072 0.3591 0.6336 1
O10 O 0.3591 0.0072 0.1336 1
O11 O 0.6409 0.6481 0.6336 1
O12 O 0.3519 0.3591 0.8664 1
```